No. 1
Compound: CdPbO3
Source: OQMD via LeMat-Bulk
Functional: GGA-PBE
Structure: optimized geometry

Lattice parameters (Å, degrees): 5.7770 5.7770 5.7770 60.25 60.25 60.25
Closest atoms and distances in Å follow each position.
Atoms (fractional coordinates):
O 0.7500 0.3762 0.1238  1 Cd 2.17, 2 Pb 2.17
O 0.2500 0.6238 0.8762  1 Cd 2.17, 2 Pb 2.17
Cd 0.7500 0.7500 0.7500  3 O 2.17
O 0.8762 0.2500 0.6238  1 Cd 2.17, 2 Pb 2.17
Pb 0.0000 0.0000 0.0000  6 O 2.17
Pb 0.5000 0.5000 0.5000  6 O 2.17
O 0.1238 0.7500 0.3762  1 Cd 2.17, 2 Pb 2.17
Cd 0.2500 0.2500 0.2500  3 O 2.17
O 0.6238 0.8762 0.2500  1 Cd 2.17, 2 Pb 2.17
O 0.3762 0.1238 0.7500  1 Cd 2.17, 2 Pb 2.17

Summary:
Its symmetry is No. 167. The uncorrected energy is -4.787 eV per atom.

---

No. 2
Compound: Cd3Pt4PbO12
Source: OQMD via LeMat-Bulk
Functional: GGA-PBE
Structure: optimized geometry

Lattice parameters (Å, degrees): 6.7877 6.7877 6.7877 109.47 109.47 109.47
Closest atoms and distances in Å follow each position.
Atoms (fractional coordinates):
O 0.2963 0.8082 0.1045  2 Pt 2.04, 1 Cd 2.19
O 0.8082 0.1045 0.2963  2 Pt 2.04, 1 Cd 2.19
Cd 0.5000 0.5000 0.0000  4 O 2.19
O 0.8955 0.7037 0.1918  2 Pt 2.04, 1 Cd 2.19
O 0.7037 0.8082 0.5119  2 Pt 2.04, 1 Cd 2.19
O 0.1918 0.8955 0.7037  2 Pt 2.04, 1 Cd 2.19
O 0.1045 0.2963 0.8082  2 Pt 2.04, 1 Cd 2.19
Cd 0.0000 0.5000 0.5000  4 O 2.19
Pt 0.5000 0.0000 0.0000  6 O 2.04
O 0.4881 0.2963 0.1918  2 Pt 2.04, 1 Cd 2.19
O 0.8082 0.5119 0.7037  2 Pt 2.04, 1 Cd 2.19
Cd 0.5000 0.0000 0.5000  4 O 2.19
Pb 0.0000 0.0000 0.0000  12 O 2.77
O 0.2963 0.1918 0.4881  2 Pt 2.04, 1 Cd 2.19
O 0.5119 0.7037 0.8082  2 Pt 2.04, 1 Cd 2.19
Pt 0.0000 0.0000 0.5000  6 O 2.04
O 0.1918 0.4881 0.2963  2 Pt 2.04, 1 Cd 2.19
O 0.7037 0.1918 0.8955  2 Pt 2.04, 1 Cd 2.19
Pt 0.5000 0.5000 0.5000  6 O 2.04
Pt 0.0000 0.5000 0.0000  6 O 2.04

Summary:
Its symmetry is No. 204. The uncorrected energy is -5.105 eV per atom.

---

No. 3
Compound: CdPbSO
Source: OQMD via LeMat-Bulk
Functional: GGA-PBE
Structure: optimized geometry

Lattice parameters (Å, degrees): 4.3777 4.3777 9.1576 90.00 90.00 90.00
Closest atoms and distances in Å follow each position.
Atoms (fractional coordinates):
O 0.2500 0.2500 0.4850  1 S 1.55
S 0.7500 0.7500 0.6838  1 O 1.55
Cd 0.7500 0.7500 0.2768  1 O 2.18
Pb 0.7500 0.2500 0.0000  4 Pb 3.10, 4 Cd 3.35
Cd 0.2500 0.2500 0.7232  1 O 2.18
O 0.7500 0.7500 0.5150  1 S 1.55
Pb 0.2500 0.7500 0.0000  4 Pb 3.10, 4 Cd 3.35
S 0.2500 0.2500 0.3162  1 O 1.55

Summary:
Its symmetry is No. 129. The offset from the most stable computed form comes out at 689 meV/atom. The uncorrected energy is -3.545 eV per atom.

---

No. 4
Compound: CdPbSO
Source: OQMD via LeMat-Bulk
Functional: GGA-PBE
Structure: optimized geometry

Lattice parameters (Å, degrees): 6.0789 3.9848 14.6753 90.00 90.00 90.00
Closest atoms and distances in Å follow each position.
Atoms (fractional coordinates):
S 0.7349 0.2500 0.5897  2 Cd 2.54
O 0.2858 0.2500 0.1732  2 Cd 2.18-2.27, 2 Pb 2.41
Cd 0.1581 0.2500 0.3120  2 O 2.18-2.27
S 0.2349 0.2500 0.9103  2 Cd 2.54
S 0.2651 0.7500 0.4103  2 Cd 2.54
Cd 0.8419 0.7500 0.6880  2 O 2.18-2.27
Pb 0.2366 0.7500 0.0833  2 O 2.41
S 0.7651 0.7500 0.0897  2 Cd 2.54
O 0.7142 0.7500 0.8268  2 Cd 2.18-2.27, 2 Pb 2.41
Cd 0.3419 0.7500 0.8120  2 O 2.18-2.27
Pb 0.2634 0.2500 0.5833  2 O 2.41
Pb 0.7366 0.7500 0.4167  2 O 2.41
O 0.2142 0.7500 0.6732  2 Cd 2.18-2.27, 2 Pb 2.41
Pb 0.7634 0.2500 0.9167  2 O 2.41
Cd 0.6581 0.2500 0.1880  2 O 2.18-2.27
O 0.7858 0.2500 0.3268  2 Cd 2.18-2.27, 2 Pb 2.41

Summary:
Its symmetry is No. 62. The offset from the most stable computed form comes out at 17 meV/atom. The uncorrected energy is -4.217 eV per atom.

---

No. 5
Compound: CdPbSO
Source: OQMD via LeMat-Bulk
Functional: GGA-PBE
Structure: optimized geometry

Lattice parameters (Å, degrees): 7.5817 7.5817 6.0707 90.00 90.00 30.52
Closest atoms and distances in Å follow each position.
Atoms (fractional coordinates):
O 0.5792 0.5792 0.5229  2 Cd 2.17-2.26, 2 Pb 2.41
S 0.1568 0.1568 0.0060  2 Cd 2.55, 1 Pb 2.83
Pb 0.1694 0.1694 0.4719  2 O 2.41
Cd 0.5591 0.5591 0.8918  2 O 2.17-2.26
O 0.4208 0.4208 0.0229  2 Cd 2.17-2.26, 2 Pb 2.41
Pb 0.8306 0.8306 0.9719  2 O 2.41
Cd 0.4409 0.4409 0.3918  2 O 2.17-2.26
S 0.8432 0.8432 0.5060  2 Cd 2.55, 1 Pb 2.83

Summary:
Its symmetry is No. 36. The offset from the most stable computed form comes out at 18 meV/atom. The uncorrected energy is -4.217 eV per atom.

---

No. 6
Compound: CdPbSO
Source: OQMD via LeMat-Bulk
Functional: GGA-PBE
Structure: optimized geometry

Lattice parameters (Å, degrees): 7.1617 7.6957 6.4451 90.00 90.00 90.00
Closest atoms and distances in Å follow each position.
Atoms (fractional coordinates):
Cd 0.8756 0.3611 0.0410  1 O 2.23
S 0.9657 0.3609 0.6536  3 Cd 2.53-2.58
O 0.9367 0.0922 0.1511  1 Cd 2.23, 2 Pb 2.27-2.28
O 0.0633 0.9078 0.6511  1 Cd 2.23, 2 Pb 2.27-2.28
Pb 0.6572 0.8987 0.4043  2 O 2.27-2.28
S 0.0343 0.6391 0.1536  3 Cd 2.53-2.58
Pb 0.3428 0.1013 0.9043  2 O 2.27-2.28
S 0.4657 0.6391 0.6536  3 Cd 2.53-2.58
O 0.4367 0.9078 0.1511  1 Cd 2.23, 2 Pb 2.27-2.28
Cd 0.1244 0.6389 0.5410  1 O 2.23
O 0.5633 0.0922 0.6511  1 Cd 2.23, 2 Pb 2.27-2.28
Pb 0.8428 0.8987 0.9043  2 O 2.27-2.28
Cd 0.6244 0.3611 0.5410  1 O 2.23
S 0.5343 0.3609 0.1536  3 Cd 2.53-2.58
Pb 0.1572 0.1013 0.4043  2 O 2.27-2.28
Cd 0.3756 0.6389 0.0410  1 O 2.23

Summary:
Its symmetry is No. 29. The offset from the most stable computed form comes out at 46 meV/atom. The uncorrected energy is -4.189 eV per atom.

---

No. 7
Compound: CdPbSO
Source: OQMD via LeMat-Bulk
Functional: GGA-PBE
Structure: optimized geometry

Lattice parameters (Å, degrees): 6.8766 14.8423 6.6257 90.00 90.00 90.00
Closest atoms and distances in Å follow each position.
Atoms (fractional coordinates):
Cd 0.0833 0.2183 0.1265  3 O 2.24-2.31
O 0.7782 0.2837 0.1446  3 Cd 2.24-2.31
O 0.7218 0.7837 0.1446  3 Cd 2.24-2.31
Cd 0.5833 0.2183 0.3735  3 O 2.24-2.31
Cd 0.5833 0.2817 0.8735  3 O 2.24-2.31
O 0.2218 0.7837 0.3554  3 Cd 2.24-2.31
Pb 0.7422 0.9233 0.3867  1 O 2.62, 2 S 2.77-2.80
Pb 0.2578 0.4233 0.1133  1 O 2.62, 2 S 2.77-2.80
Pb 0.2422 0.5767 0.6133  1 O 2.62, 2 S 2.77-2.80
S 0.4975 0.4422 0.7471  1 Cd 2.59, 2 Pb 2.77-2.80
Cd 0.0833 0.2817 0.6265  3 O 2.24-2.31
O 0.7218 0.7163 0.6446  3 Cd 2.24-2.31
O 0.7782 0.2163 0.6446  3 Cd 2.24-2.31
S 0.9975 0.4422 0.7529  1 Cd 2.59, 2 Pb 2.77-2.80
Pb 0.2422 0.9233 0.1133  1 O 2.62, 2 S 2.77-2.80
Cd 0.4167 0.7183 0.1265  3 O 2.24-2.31
Pb 0.7422 0.5767 0.8867  1 O 2.62, 2 S 2.77-2.80
Pb 0.7578 0.0767 0.8867  1 O 2.62, 2 S 2.77-2.80
O 0.2782 0.2837 0.3554  3 Cd 2.24-2.31
Cd 0.9167 0.7183 0.3735  3 O 2.24-2.31
S 0.0025 0.5578 0.2471  1 Cd 2.59, 2 Pb 2.77-2.80
S 0.5025 0.9422 0.7529  1 Cd 2.59, 2 Pb 2.77-2.80
S 0.4975 0.0578 0.2471  1 Cd 2.59, 2 Pb 2.77-2.80
Cd 0.9167 0.7817 0.8735  3 O 2.24-2.31
Pb 0.7578 0.4233 0.3867  1 O 2.62, 2 S 2.77-2.80
Cd 0.4167 0.7817 0.6265  3 O 2.24-2.31
S 0.0025 0.9422 0.7471  1 Cd 2.59, 2 Pb 2.77-2.80
O 0.2782 0.2163 0.8554  3 Cd 2.24-2.31
Pb 0.2578 0.0767 0.6133  1 O 2.62, 2 S 2.77-2.80
S 0.9975 0.0578 0.2529  1 Cd 2.59, 2 Pb 2.77-2.80
O 0.2218 0.7163 0.8554  3 Cd 2.24-2.31
S 0.5025 0.5578 0.2529  1 Cd 2.59, 2 Pb 2.77-2.80

Summary:
Its symmetry is No. 61. The offset from the most stable computed form comes out at 203 meV/atom. The uncorrected energy is -4.032 eV per atom.

---

No. 8
Compound: CdPbSO
Source: OQMD via LeMat-Bulk
Functional: GGA-PBE
Structure: optimized geometry

Lattice parameters (Å, degrees): 6.1737 9.6811 5.9965 90.00 90.00 90.00
Closest atoms and distances in Å follow each position.
Atoms (fractional coordinates):
S 0.5324 0.3306 0.0864  1 Cd 2.54, 1 Pb 2.83
Cd 0.4141 0.0874 0.9875  3 O 2.18-2.26
Pb 0.0099 0.6650 0.5643  1 O 2.36
S 0.9676 0.3306 0.5864  1 Cd 2.54, 1 Pb 2.83
Pb 0.4901 0.6650 0.0643  1 O 2.36
S 0.0324 0.6694 0.0864  1 Cd 2.54, 1 Pb 2.83
Pb 0.5099 0.3350 0.5643  1 O 2.36
S 0.4676 0.6694 0.5864  1 Cd 2.54, 1 Pb 2.83
O 0.5707 0.9010 0.1117  3 Cd 2.18-2.26, 1 Pb 2.36
O 0.4293 0.0990 0.6117  3 Cd 2.18-2.26, 1 Pb 2.36
Cd 0.5859 0.9126 0.4875  3 O 2.18-2.26
O 0.9293 0.9010 0.6117  3 Cd 2.18-2.26, 1 Pb 2.36
O 0.0707 0.0990 0.1117  3 Cd 2.18-2.26, 1 Pb 2.36
Cd 0.0859 0.0874 0.4875  3 O 2.18-2.26
Cd 0.9141 0.9126 0.9875  3 O 2.18-2.26
Pb 0.9901 0.3350 0.0643  1 O 2.36

Summary:
Its symmetry is No. 29. The offset from the most stable computed form comes out at 36 meV/atom. The uncorrected energy is -4.199 eV per atom.

---

No. 9
Compound: CdPbSO
Source: OQMD via LeMat-Bulk
Functional: GGA-PBE
Structure: optimized geometry

Lattice parameters (Å, degrees): 3.9895 3.9895 11.3033 90.00 90.00 90.00
Closest atoms and distances in Å follow each position.
Atoms (fractional coordinates):
O 0.2500 0.2500 0.4196  1 Pb 2.16
S 0.7500 0.7500 0.8532  4 Cd 2.59
O 0.7500 0.7500 0.5804  1 Pb 2.16
Pb 0.7500 0.7500 0.3888  1 O 2.16
Pb 0.2500 0.2500 0.6112  1 O 2.16
Cd 0.7500 0.2500 0.0000  4 S 2.59, 4 Cd 2.82
S 0.2500 0.2500 0.1468  4 Cd 2.59
Cd 0.2500 0.7500 0.0000  4 S 2.59, 4 Cd 2.82

Summary:
Its symmetry is No. 129. The offset from the most stable computed form comes out at 270 meV/atom. The uncorrected energy is -3.965 eV per atom.

---

No. 10
Compound: CdPbSO
Source: OQMD via LeMat-Bulk
Functional: GGA-PBE
Structure: optimized geometry

Lattice parameters (Å, degrees): 8.0483 8.0483 5.9585 90.00 90.00 26.69
Closest atoms and distances in Å follow each position.
Atoms (fractional coordinates):
S 0.1948 0.1948 0.0110  3 Cd 2.61-2.80, 2 Pb 2.77
O 0.5962 0.5962 0.5319  1 Pb 2.25, 2 Cd 2.27
Pb 0.4295 0.4295 0.4039  1 O 2.25
Pb 0.5705 0.5705 0.9039  1 O 2.25
O 0.4038 0.4038 0.0319  1 Pb 2.25, 2 Cd 2.27
S 0.8052 0.8052 0.5110  3 Cd 2.61-2.80, 2 Pb 2.77
Cd 0.8267 0.8267 0.9459  2 O 2.27
Cd 0.1733 0.1733 0.4459  2 O 2.27

Summary:
Its symmetry is No. 36. The offset from the most stable computed form comes out at 141 meV/atom. The uncorrected energy is -4.094 eV per atom.

---

No. 11
Compound: CdPbSO
Source: OQMD via LeMat-Bulk
Functional: GGA-PBE
Structure: optimized geometry

Lattice parameters (Å, degrees): 4.6661 4.6661 8.9055 90.00 90.00 90.03
Closest atoms and distances in Å follow each position.
Atoms (fractional coordinates):
Cd 0.2500 0.7500 0.0055  4 O 2.33
O 0.2500 0.2500 0.0000  4 Cd 2.33
Pb 0.2500 0.2500 0.5000  4 S 2.85
O 0.7500 0.7500 0.0000  4 Cd 2.33
S 0.7500 0.2500 0.6829  1 Cd 2.77, 4 Pb 2.85
Pb 0.7500 0.7500 0.5000  4 S 2.85
Cd 0.7500 0.2500 0.9945  4 O 2.33
S 0.2500 0.7500 0.3171  1 Cd 2.77, 4 Pb 2.85

Summary:
Its symmetry is No. 129. The offset from the most stable computed form comes out at 455 meV/atom. The uncorrected energy is -3.779 eV per atom.

---

No. 12
Compound: CdPbSO
Source: OQMD via LeMat-Bulk
Functional: GGA-PBE
Structure: optimized geometry

Lattice parameters (Å, degrees): 6.5432 7.9981 7.4347 90.00 90.00 90.00
Closest atoms and distances in Å follow each position.
Atoms (fractional coordinates):
Pb 0.7550 0.1036 0.3676  1 O 2.27
Cd 0.2122 0.8629 0.5067  2 O 2.19-2.22
S 0.5741 0.5698 0.8245  2 Cd 2.50-2.68
Cd 0.7878 0.3629 0.9933  2 O 2.19-2.22
Cd 0.7122 0.6371 0.4933  2 O 2.19-2.22
Cd 0.2878 0.1371 0.0067  2 O 2.19-2.22
O 0.8944 0.8508 0.5959  2 Cd 2.19-2.22, 1 Pb 2.27
O 0.6056 0.1492 0.0959  2 Cd 2.19-2.22, 1 Pb 2.27
Pb 0.2450 0.6036 0.1324  1 O 2.27
S 0.0741 0.9302 0.1755  2 Cd 2.50-2.68
S 0.4259 0.0698 0.6755  2 Cd 2.50-2.68
Pb 0.7450 0.8964 0.8676  1 O 2.27
O 0.1056 0.3508 0.9041  2 Cd 2.19-2.22, 1 Pb 2.27
Pb 0.2550 0.3964 0.6324  1 O 2.27
O 0.3944 0.6492 0.4041  2 Cd 2.19-2.22, 1 Pb 2.27
S 0.9259 0.4302 0.3245  2 Cd 2.50-2.68

Summary:
Its symmetry is No. 19. The offset from the most stable computed form comes out at 104 meV/atom. The uncorrected energy is -4.131 eV per atom.

---

Please write out number 3 again, unchanged.
Compound: CdPbSO
Source: OQMD via LeMat-Bulk
Functional: GGA-PBE
Structure: optimized geometry

Lattice parameters (Å, degrees): 4.3777 4.3777 9.1576 90.00 90.00 90.00
Closest atoms and distances in Å follow each position.
Atoms (fractional coordinates):
O 0.2500 0.2500 0.4850  1 S 1.55
S 0.7500 0.7500 0.6838  1 O 1.55
Cd 0.7500 0.7500 0.2768  1 O 2.18
Pb 0.7500 0.2500 0.0000  4 Pb 3.10, 4 Cd 3.35
Cd 0.2500 0.2500 0.7232  1 O 2.18
O 0.7500 0.7500 0.5150  1 S 1.55
Pb 0.2500 0.7500 0.0000  4 Pb 3.10, 4 Cd 3.35
S 0.2500 0.2500 0.3162  1 O 1.55

Summary:
Its symmetry is No. 129. The offset from the most stable computed form comes out at 689 meV/atom. The uncorrected energy is -3.545 eV per atom.